This record from Alexandria via LeMat-Bulk describes an optimized crystal structure of CaY2Re. The functional is GGA-PBEsol.

Geometry as extended XYZ:
```
4
Lattice="5.077 0.000 0.000 2.538 4.396 0.000 2.538 1.465 4.145" Properties=species:S:1:pos:R:3 pbc="T T T"
Y 2.538 1.465 1.036
Y 7.615 4.396 3.109
Re 5.077 2.931 2.073
Ca 0.000 0.000 0.000
```

Calculated values
Space group: No. 225
Energy (eV/atom): -6.941
Mass density (g/cm3): 7.25
ΔE to the lowest computed polymorph (kJ/mol of formula units): 0
Calculated formation energy (eV per atom): 0.337